Record 1
VASP calculation (PBE) on a relaxed structure of NdPu2NiN4.

Calculated values
* energy relative to the elements, uncorrected: -8.38 eV/f.u.
* calculated density: 11.18 g/cm³
* SG: Cmcm

Unit cell a=5.883 b=5.883 c=11.407 alpha=90.00 beta=90.00 gamma=145.81
Fractional coordinates of all 16 atoms:
Nd 0.103 0.897 0.750
Nd 0.897 0.103 0.250
Pu 0.369 0.631 0.557
Pu 0.369 0.631 0.943
Pu 0.631 0.369 0.057
Pu 0.631 0.369 0.443
Ni 0.162 0.838 0.250
Ni 0.838 0.162 0.750
N 0.000 0.000 0.000
N 0.000 0.000 0.500
N 0.263 0.737 0.111
N 0.263 0.737 0.389
N 0.439 0.561 0.750
N 0.561 0.439 0.250
N 0.737 0.263 0.611
N 0.737 0.263 0.889

=====

Record 2
VASP calculation (PBE) on a relaxed structure of SmZnPd.

Calculated values
* energy relative to the elements: -520 meV per atom
* calculated density: 7.54 g/cm³
* SG: F-43m

Unit cell a=4.646 b=4.646 c=4.646 alpha=60.00 beta=60.00 gamma=60.00
Fractional coordinates of all 3 atoms:
Sm 0.000 0.000 0.000
Zn 0.500 0.500 0.500
Pd 0.750 0.750 0.750

=====

Record 3
VASP calculation (PBE) on a relaxed structure of UCo2P2Ir.

Calculated values
* energy relative to the elements: -540 meV per atom
* calculated density: 11.78 g/cm³
* SG: Pmc2_1

Unit cell a=3.660 b=7.972 c=5.894 alpha=90.00 beta=90.00 gamma=90.00
Fractional coordinates of all 12 atoms:
U 0.000 0.058 0.000
U 0.000 0.942 0.500
Co 0.000 0.346 0.398
Co 0.000 0.654 0.898
Co 0.500 0.429 0.076
Co 0.500 0.571 0.576
P 0.000 0.407 0.776
P 0.000 0.593 0.276
P 0.500 0.203 0.299
P 0.500 0.797 0.799
Ir 0.500 0.233 0.695
Ir 0.500 0.767 0.195

=====

Record 4
VASP calculation (PBE) on a relaxed structure of NpCdPb2O6.

Calculated values
* energy relative to the elements, uncorrected: -18.07 eV/f.u.
* calculated density: 9.12 g/cm³
* SG: P2_1/c

Unit cell a=5.928 b=6.151 c=10.397 alpha=90.00 beta=124.36 gamma=90.00
Fractional coordinates of all 20 atoms:
Np 0.000 0.000 0.000
Np 0.000 0.500 0.500
Cd 0.500 0.000 0.500
Cd 0.500 0.500 0.000
Pb 0.256 0.044 0.761
Pb 0.256 0.456 0.261
Pb 0.744 0.544 0.739
Pb 0.744 0.956 0.239
O 0.146 0.042 0.240
O 0.146 0.458 0.740
O 0.225 0.724 0.052
O 0.225 0.776 0.552
O 0.330 0.175 0.032
O 0.330 0.325 0.532
O 0.670 0.675 0.468
O 0.670 0.825 0.968
O 0.775 0.224 0.448
O 0.775 0.276 0.948
O 0.854 0.542 0.260
O 0.854 0.958 0.760